First-principles (PBE with a Hubbard U) data for a relaxed BeNiF2 crystal, as listed in Alexandria via LeMat-Bulk.

Unit cell a=2.5252 b=2.5252 c=26.0787 alpha=90.00 beta=90.00 gamma=120.00
Space group R-3m (No. 166, hexagonal axes)
One atom of each set of equivalent atoms:
Be  0.0000  0.0000  0.0000 (multiplicity 3)
Ni  0.0000  0.0000  0.5000 (multiplicity 3)
F  0.0000  0.0000  0.3687 (multiplicity 6)

Results
**Density of states at the Fermi level**: 2.1 states/eV per cell
**Final energy**: -4.158 eV/atom
**Polymorph energy (0 for the lowest one)**: 0.000 eV per atom